# 1
{"formula": "Y2TlNi", "functional": "GGA-PBE", "state": "relaxed", "delta_e_f_mev_per_atom": -371, "dos_ef_per_ev_cell": 2.122, "crystal_system": "monoclinic", "lattice": [[3.5499, 0.0000, 0.0000], [0.0000, 3.4392, 0.0137], [0.0000, 3.4169, 7.7380]], "species": ["Y", "Y", "Ni", "Tl"], "frac_coords": [[0.0000, 0.9615, 0.0389], [0.0000, 0.5385, 0.4611], [0.5000, 0.2500, 0.2500], [0.5000, 0.7500, 0.7500]]}

---

# 2
{"formula": "MgH", "functional": "GGA-PBE", "state": "relaxed", "polymorph_energy_mev_per_atom": 0, "dos_ef_per_ev_cell": 0.941, "crystal_system": "trigonal", "lattice": [[3.1217, 0.0000, 0.0000], [-1.5609, 2.7035, 0.0000], [0.0000, 0.0000, 18.1131]], "species": ["Mg", "Mg", "Mg", "Mg", "Mg", "Mg", "H", "H", "H", "H", "H", "H"], "frac_coords": [[0.0000, 0.0000, 0.5000], [0.3333, 0.6667, 0.1667], [0.6667, 0.3333, 0.8333], [0.0000, 0.0000, 0.0000], [0.3333, 0.6667, 0.6667], [0.6667, 0.3333, 0.3333], [0.0000, 0.0000, 0.6194], [0.0000, 0.0000, 0.3806], [0.3333, 0.6667, 0.2861], [0.3333, 0.6667, 0.0472], [0.6667, 0.3333, 0.9528], [0.6667, 0.3333, 0.7139]]}

---

# 3
{"formula": "Tm2NbO", "functional": "GGA-PBE", "state": "relaxed", "formation_energy_uncorrected_mev_per_atom": -901.0, "dos_ef_per_ev_cell": 3.037, "crystal_system": "trigonal", "lattice": [[-2.6618, 1.3328, 1.2215], [-2.6922, -1.7413, 0.2714], [0.6192, -2.6148, 8.4407]], "species": ["Nb", "Tm", "Tm", "O"], "frac_coords": [[0.0000, 0.0000, 0.0000], [0.1120, 0.1120, 0.6639], [0.8880, 0.8880, 0.3361], [0.5000, 0.5000, 0.5000]]}

---

# 4
{"formula": "MgPa3Tl3Se8", "functional": "GGA-PBE", "state": "relaxed", "formation_energy_uncorrected_mev_per_atom": -1047.2, "dos_ef_per_ev_cell": 15.292, "crystal_system": "trigonal", "lattice": [[-7.2402, 0.4531, -3.8818], [0.2474, -1.5490, 8.0772], [1.9292, 8.6804, -2.5857]], "species": ["Mg", "Pa", "Pa", "Pa", "Tl", "Tl", "Tl", "Se", "Se", "Se", "Se", "Se", "Se", "Se", "Se"], "frac_coords": [[0.0000, 0.0000, 0.5000], [0.5000, 0.0000, 0.5000], [0.5000, 0.5000, 0.5000], [0.0000, 0.5000, 0.5000], [0.0000, 0.0000, 0.0000], [0.0000, 0.5000, 0.0000], [0.5000, 0.5000, 0.0000], [0.2641, 0.5282, 0.2922], [0.7359, 0.4718, 0.7078], [0.7697, 0.5393, 0.3012], [0.2303, 0.4607, 0.6988], [0.7696, 0.0315, 0.3012], [0.2304, 0.9685, 0.6988], [0.2620, 0.0315, 0.3011], [0.7380, 0.9685, 0.6989]]}

---

# 5
{"formula": "AlInI4", "functional": "GGA-PBE", "state": "relaxed", "polymorph_energy_mev_per_atom": 16, "formation_energy_uncorrected_mev_per_atom": -608.4, "dos_ef_per_ev_cell": 0.000, "crystal_system": "monoclinic", "lattice": [[-5.5693, 6.7184, -4.0061], [0.2016, -7.5270, -8.5547], [-8.8309, -4.8828, 4.0881]], "species": ["Al", "Al", "Al", "Al", "In", "In", "In", "In", "I", "I", "I", "I", "I", "I", "I", "I", "I", "I", "I", "I", "I", "I", "I", "I"], "frac_coords": [[0.8899, 0.2181, 0.8134], [0.6101, 0.2819, 0.3134], [0.3899, 0.7181, 0.6866], [0.1101, 0.7819, 0.1866], [0.4546, 0.2218, 0.8151], [0.0454, 0.2782, 0.3151], [0.9546, 0.7218, 0.6849], [0.5454, 0.7782, 0.1849], [0.6912, 0.0451, 0.8666], [0.0151, 0.1604, 0.6197], [0.7322, 0.0989, 0.2790], [0.4246, 0.2443, 0.4836], [0.7678, 0.4011, 0.7790], [0.0754, 0.2557, 0.9836], [0.4849, 0.3396, 0.1197], [0.8088, 0.4549, 0.3666], [0.1912, 0.5451, 0.6334], [0.5151, 0.6604, 0.8803], [0.9246, 0.7443, 0.0164], [0.2322, 0.5989, 0.2210], [0.5754, 0.7557, 0.5164], [0.2678, 0.9011, 0.7210], [0.9849, 0.8396, 0.3803], [0.3088, 0.9549, 0.1334]]}

---

# 6
{"formula": "CaPrSb2", "functional": "GGA-PBE", "state": "relaxed", "polymorph_energy_mev_per_atom": 56, "formation_energy_uncorrected_mev_per_atom": -881.2, "dos_ef_per_ev_cell": 2.153, "crystal_system": "tetragonal", "lattice": [[3.4487, 0.0000, 0.0000], [0.0000, 5.8446, 0.0000], [0.0000, 0.0000, 5.8446]], "species": ["Pr", "Sb", "Sb", "Ca"], "frac_coords": [[0.5000, 0.0000, 0.0000], [0.0000, 0.0000, 0.5000], [0.0000, 0.5000, 0.0000], [0.5000, 0.5000, 0.5000]]}

---

# 7
{"formula": "InSbAs2Se", "functional": "GGA-PBE", "state": "relaxed", "polymorph_energy_mev_per_atom": 0, "formation_energy_uncorrected_mev_per_atom": 568.8, "dos_ef_per_ev_cell": 6.129, "crystal_system": "tetragonal", "lattice": [[-3.6225, -1.6459, -3.5111], [3.3638, -3.7243, -1.7246], [-1.9686, -3.4722, 3.6587]], "species": ["Sb", "As", "As", "Se", "In"], "frac_coords": [[0.0000, 0.0000, 0.0000], [0.0000, 0.5000, 0.0000], [0.5000, 0.0000, 0.0000], [0.0000, 0.0000, 0.5000], [0.5000, 0.5000, 0.5000]]}

---

# 8
{"formula": "AcPr5Ho2", "functional": "GGA-PBE", "state": "relaxed", "delta_e_f_mev_per_atom": 19, "dos_ef_per_ev_cell": 21.291, "crystal_system": "orthorhombic", "lattice": [[5.2164, 0.0000, 0.0000], [0.0000, 7.3996, 0.0000], [0.0000, 0.0000, 14.8016]], "species": ["Ac", "Ac", "Pr", "Pr", "Pr", "Pr", "Pr", "Pr", "Pr", "Pr", "Pr", "Pr", "Ho", "Ho", "Ho", "Ho"], "frac_coords": [[0.0000, 0.0000, 0.5000], [0.0000, 0.5000, 0.0000], [0.0000, 0.0000, 0.0000], [0.0000, 0.5000, 0.5000], [0.0000, 0.4979, 0.7480], [0.0000, 0.5021, 0.2520], [0.0000, 0.0021, 0.2480], [0.0000, 0.9979, 0.7520], [0.5000, 0.2462, 0.8732], [0.5000, 0.7538, 0.1268], [0.5000, 0.2538, 0.3732], [0.5000, 0.7462, 0.6268], [0.5000, 0.2505, 0.6269], [0.5000, 0.7495, 0.3731], [0.5000, 0.2495, 0.1269], [0.5000, 0.7505, 0.8731]]}